DFT (SCAN) results for a PBEsol-optimized structure of TmB4Ru.

Cell: 5.8905 11.3917 3.4802 Å, 90.00 90.00 90.00°
Closest atoms and distances in Å follow each position.
Space group Pbam (No. 55)
Symmetry-distinct sites (fractional):
1 Tm 0.1290 0.1499 0.0000 x4  14 B 2.59-2.73
2 B 0.0234 0.6926 0.5000 x4  3 B 1.74-1.85
3 B 0.1130 0.5473 0.5000 x4  3 B 1.71-1.74
4 B 0.1351 0.9696 0.5000 x4  3 B 1.73-1.82
5 B 0.2097 0.8142 0.5000 x4  3 B 1.77-1.85
6 Ru 0.1399 0.4076 0.0000 x4  10 B 2.22-2.36

Computed properties:
- formation enthalpy at 0 K (eV/atom) = -0.74
- total DFT energy (no corrections) (Ha/atom) = -0.740